1.
DFT (PBE) results for an optimized crystal structure of CaTmInCu.

Its total energy is -57.319 eV/cell. As for the calculated formation energy: -255.5 meV per atom.

It has space group F-43m (No. 216), with a = 7.2979 Å, b = 7.2979 Å, c = 7.2979 Å, α = 90.00°, β = 90.00° and γ = 90.00°. The inequivalent atoms are Ca at (0.0000, 0.0000, 0.0000), Tm at (0.0000, 0.0000, 0.5000), In at (0.2500, 0.2500, 0.2500) and Cu at (0.2500, 0.2500, 0.7500).

=====

2.
DFT (PBE) results for an optimized crystal structure of YCr3Ge.

As for the excess energy over the best structure of this formula in the dataset: 0.000 eV per atom. Its total energy is -36.395 eV/cell. As for the calculated formation energy: 711.4 meV per atom.

It has space group Pm-3m (No. 221), with a = 4.6636 Å, b = 4.6636 Å, c = 4.6636 Å, α = 90.00°, β = 90.00° and γ = 90.00°. The inequivalent atoms are Y at (0.0000, 0.0000, 0.0000), Cr at (0.0000, 0.5000, 0.5000) and Ge at (0.5000, 0.5000, 0.5000).

=====

3.
DFT (PBE) results for an optimized crystal structure of HoAl2Sb.

Its total energy is -17.596 eV/cell.

It has space group P4/mmm (No. 123), with a = 4.4970 Å, b = 4.4970 Å, c = 4.3279 Å, α = 90.00°, β = 90.00° and γ = 90.00°. The inequivalent atoms are Ho at (0.0000, 0.0000, 0.0000), Al at (0.0000, 0.5000, 0.5000) and Sb at (0.5000, 0.5000, 0.0000).

=====

4.
DFT (PBE) results for an optimized crystal structure of TlZnB.

Its total energy is -36.051 eV/cell. As for the calculated formation energy: 434.9 meV per atom.

It has space group Cm (No. 8), with a = 6.4072 Å, b = 3.6997 Å, c = 9.6819 Å, α = 90.00°, β = 90.16° and γ = 90.00°. The inequivalent atoms are Tl at (0.0000, 0.0000, 0.0000), Tl at (0.1642, 0.5000, 0.3325), Zn at (0.1655, 0.5000, 0.7722), Zn at (0.3316, 0.0000, 0.5883), B at (0.4979, 0.5000, 0.5232) and B at (0.4986, 0.5000, 0.6894).

=====

5.
DFT (PBE) results for an optimized crystal structure of Ho2AlH.

As for the excess energy over the best structure of this formula in the dataset: 0.000 eV per atom. Its total energy is -51.785 eV/cell.

It has space group R-3m (No. 166, hexagonal axes), with a = 3.5461 Å, b = 3.5461 Å, c = 22.0690 Å, α = 90.00°, β = 90.00° and γ = 120.00°. The inequivalent atoms are Ho at (0.0000, 0.0000, 0.2296), Al at (0.0000, 0.0000, 0.0000) and H at (0.0000, 0.0000, 0.5000).

=====

6.
DFT (PBE) results for an optimized crystal structure of KH6S2.

Its total energy is -60.556 eV/cell.

It has space group C2/m (No. 12), with a = 9.5506 Å, b = 6.1335 Å, c = 5.7653 Å, α = 90.00°, β = 126.86° and γ = 90.00°. The inequivalent atoms are K at (0.0000, 0.0000, 0.0000), H at (0.0000, 0.4358, 0.5000), H at (0.1204, 0.1578, 0.6197) and S at (0.2445, 0.5000, 0.2456).

=====

7.
DFT (PBE) results for an optimized crystal structure of Pm2YAl2Zn2.

Its total energy is -84.804 eV/cell. As for the calculated formation energy: -324.2 meV per atom.

It has space group R-3m (No. 166, hexagonal axes), with a = 4.5202 Å, b = 4.5202 Å, c = 28.0241 Å, α = 90.00°, β = 90.00° and γ = 120.00°. The inequivalent atoms are Pm at (0.0000, 0.0000, 0.1266), Y at (0.0000, 0.0000, 0.0000), Al at (0.0000, 0.0000, 0.2678) and Zn at (0.0000, 0.0000, 0.3943).

=====

8.
DFT (PBE) results for an optimized crystal structure of AgAu2F8.

As for the excess energy over the best structure of this formula in the dataset: 0.000 eV per atom. Its total energy is -72.253 eV/cell.

It has space group P2_1/c (No. 14), with a = 5.5317 Å, b = 11.3722 Å, c = 7.6766 Å, α = 90.00°, β = 132.59° and γ = 90.00°. The inequivalent atoms are Ag at (0.0000, 0.0000, 0.0000), Au at (0.2422, 0.1801, 0.5109), F at (0.0607, 0.7255, 0.7736), F at (0.0943, 0.0312, 0.3284), F at (0.3886, 0.1738, 0.1922) and F at (0.4670, 0.5867, 0.6910).

=====

9.
DFT (PBE) results for an optimized crystal structure of Li2LaMgAu5.

Its total energy is -31.249 eV/cell. As for the calculated formation energy: -501.3 meV per atom.

It has space group P4/mmm (No. 123), with a = 4.8310 Å, b = 4.8310 Å, c = 7.4985 Å, α = 90.00°, β = 90.00° and γ = 90.00°. The inequivalent atoms are Li at (0.0000, 0.0000, 0.1562), La at (0.5000, 0.5000, 0.5000), Mg at (0.5000, 0.5000, 0.0000), Au at (0.0000, 0.0000, 0.5000) and Au at (0.0000, 0.5000, 0.2149).

=====

10.
DFT (PBE) results for an optimized crystal structure of Th6CoBi3.

Its total energy is -262.575 eV/cell. As for the calculated formation energy: -237.6 meV per atom.

It has space group Cmc2_1 (No. 36), with a = 11.7553 Å, b = 16.5238 Å, c = 6.3041 Å, α = 90.00°, β = 90.00° and γ = 90.00°. The inequivalent atoms are Th at (0.0000, 0.0204, 0.0000), Th at (0.0000, 0.2335, 0.5755), Th at (0.1513, 0.2441, 0.0668), Th at (0.1759, 0.4210, 0.7330), Co at (0.0000, 0.1342, 0.2693), Bi at (0.0000, 0.4140, 0.2711) and Bi at (0.1991, 0.0992, 0.7184).

=====

11.
DFT (PBE) results for an optimized crystal structure of TaTiAl2.

As for the excess energy over the best structure of this formula in the dataset: 0.214 eV per atom. Its total energy is -55.359 eV/cell. As for the calculated formation energy: -111.7 meV per atom.

It has space group Cmm2 (No. 35), with a = 3.9559 Å, b = 4.1312 Å, c = 8.2683 Å, α = 90.00°, β = 90.00° and γ = 90.00°. The inequivalent atoms are Ta at (0.0000, 0.0000, 0.0000), Ti at (0.0000, 0.5000, 0.7357), Al at (0.0000, 0.0000, 0.4929) and Al at (0.0000, 0.5000, 0.2457).

=====

12.
DFT (PBE) results for an optimized crystal structure of La5Nd8Ho.

Its total energy is -128.522 eV/cell. As for the calculated formation energy: 221.2 meV per atom.

It has space group I-4 (No. 82), with a = 9.8928 Å, b = 9.8928 Å, c = 10.3134 Å, α = 90.00°, β = 90.00° and γ = 90.00°. The inequivalent atoms are La at (0.0000, 0.0000, 0.0000), La at (0.1072, 0.7871, 0.4210), Nd at (0.0706, 0.6702, 0.0948), Nd at (0.0784, 0.8172, 0.7552) and Ho at (0.0000, 0.5000, 0.7500).

=====

13.
DFT (PBE) results for an optimized crystal structure of PrNi5Ge2.

Its total energy is -92.375 eV/cell. As for the calculated formation energy: -408.3 meV per atom.

It has space group Immm (No. 71), with a = 3.7620 Å, b = 6.6810 Å, c = 9.3737 Å, α = 90.00°, β = 90.00° and γ = 90.00°. The inequivalent atoms are Pr at (0.0000, 0.0000, 0.0000), Ni at (0.0000, 0.1847, 0.3582), Ni at (0.0000, 0.5000, 0.0000) and Ge at (0.0000, 0.5000, 0.2456).

=====

14.
DFT (PBE) results for an optimized crystal structure of In2RhCl.

As for the excess energy over the best structure of this formula in the dataset: 0.132 eV per atom. Its total energy is -16.023 eV/cell.

It has space group P4/mmm (No. 123), with a = 3.2322 Å, b = 3.2322 Å, c = 7.8566 Å, α = 90.00°, β = 90.00° and γ = 90.00°. The inequivalent atoms are In at (0.0000, 0.0000, 0.2148), Rh at (0.5000, 0.5000, 0.0000) and Cl at (0.5000, 0.5000, 0.5000).

=====

15.
DFT (PBE) results for an optimized crystal structure of Tb6CeSm2.

As for the excess energy over the best structure of this formula in the dataset: 0.000 eV per atom. Its total energy is -167.688 eV/cell. As for the calculated formation energy: 136.9 meV per atom.

It has space group C2/c (No. 15), with a = 12.9297 Å, b = 14.0018 Å, c = 6.6213 Å, α = 90.00°, β = 101.68° and γ = 90.00°. The inequivalent atoms are Tb at (0.0291, 0.1913, 0.4987), Tb at (0.1332, 0.4167, 0.3172), Tb at (0.2443, 0.2017, 0.2361), Ce at (0.0000, 0.3805, 0.7500) and Sm at (0.1396, 0.0274, 0.8691).

=====

16.
DFT (PBE) results for an optimized crystal structure of NpB4W.

Its total energy is -220.741 eV/cell. As for the calculated formation energy: -430.3 meV per atom.

It has space group Pbam (No. 55), with a = 5.9994 Å, b = 11.6118 Å, c = 3.6367 Å, α = 90.00°, β = 90.00° and γ = 90.00°. The inequivalent atoms are Np at (0.1260, 0.1508, 0.0000), B at (0.0258, 0.6933, 0.5000), B at (0.1157, 0.5474, 0.5000), B at (0.1324, 0.9680, 0.5000), B at (0.2101, 0.8124, 0.5000) and W at (0.1350, 0.4119, 0.0000).

=====

17.
DFT (PBE) results for an optimized crystal structure of NaInSe2.

Its total energy is -41.371 eV/cell.

It has space group R3m (No. 160, hexagonal axes), with a = 4.3788 Å, b = 4.3788 Å, c = 23.2064 Å, α = 90.00°, β = 90.00° and γ = 120.00°. The inequivalent atoms are Na at (0.0000, 0.0000, 0.0000), In at (0.0000, 0.0000, 0.4861), Se at (0.0000, 0.0000, 0.3795) and Se at (0.0000, 0.0000, 0.8690).

=====

18.
DFT (PBE) results for an optimized crystal structure of NaAg2I3.

As for the excess energy over the best structure of this formula in the dataset: 0.000 eV per atom. Its total energy is -60.443 eV/cell.

It has space group Cc (No. 9), with a = 8.3065 Å, b = 14.5026 Å, c = 8.2538 Å, α = 90.00°, β = 109.34° and γ = 90.00°. The inequivalent atoms are Na at (0.0000, 0.0901, 0.0000), Ag at (0.0011, 0.2535, 0.4952), Ag at (0.0031, 0.4189, 0.9948), I at (0.3670, 0.2356, 0.6265), I at (0.3681, 0.4083, 0.1061) and I at (0.3947, 0.0825, 0.1265).

=====

19.
DFT (PBE) results for an optimized crystal structure of La2AsIr.

Its total energy is -82.287 eV/cell. As for the calculated formation energy: -1015.9 meV per atom.

It has space group R-3m (No. 166, hexagonal axes), with a = 4.3006 Å, b = 4.3006 Å, c = 20.8665 Å, α = 90.00°, β = 90.00° and γ = 120.00°. The inequivalent atoms are La at (0.0000, 0.0000, 0.2456), As at (0.0000, 0.0000, 0.0000) and Ir at (0.0000, 0.0000, 0.5000).

=====

20.
DFT (PBE) results for an optimized crystal structure of MnOsW2.

As for the excess energy over the best structure of this formula in the dataset: 0.008 eV per atom. Its total energy is -183.386 eV/cell. As for the calculated formation energy: 114.8 meV per atom.

It has space group F-43m (No. 216), with a = 6.2032 Å, b = 6.2032 Å, c = 6.2032 Å, α = 90.00°, β = 90.00° and γ = 90.00°. The inequivalent atoms are Mn at (0.0000, 0.0000, 0.0000), Os at (0.2500, 0.2500, 0.7500), W at (0.0000, 0.0000, 0.5000) and W at (0.2500, 0.2500, 0.2500).